# PBE+U LiV3OF11, optimized geometry
data_LiV3OF11
_cell_length_a 5.291
_cell_length_b 5.419
_cell_length_c 15.490
_cell_angle_alpha 80.04
_cell_angle_beta 89.98
_cell_angle_gamma 89.30
_space_group_name_H-M_alt 'P 1'
_space_group_IT_number 1
loop_
_space_group_symop_operation_xyz
'x,y,z'
loop_
_atom_site_label
_atom_site_type_symbol
_atom_site_fract_x
_atom_site_fract_y
_atom_site_fract_z
Li1 Li 0.000 0.000 0.000
Li2 Li 0.484 0.441 0.984
V1 V 0.283 0.298 0.821
V2 V 0.286 0.979 0.491
V3 V 0.291 0.644 0.167
V4 V 0.786 0.479 0.491
V5 V 0.791 0.811 0.812
V6 V 0.818 0.116 0.167
O1 O 0.012 0.877 0.138
O2 O 0.228 0.240 0.931
F1 F 0.090 0.366 0.143
F2 F 0.091 0.687 0.472
F3 F 0.096 0.011 0.790
F4 F 0.202 0.919 0.603
F5 F 0.225 0.565 0.279
F6 F 0.360 0.701 0.046
F7 F 0.363 0.041 0.379
F8 F 0.392 0.416 0.711
F9 F 0.482 0.271 0.510
F10 F 0.505 0.599 0.854
F11 F 0.505 0.918 0.184
F12 F 0.587 0.421 0.174
F13 F 0.590 0.769 0.516
F14 F 0.609 0.098 0.838
F15 F 0.692 0.880 0.703
F16 F 0.710 0.562 0.379
F17 F 0.729 0.210 0.041
F18 F 0.854 0.096 0.282
F19 F 0.867 0.399 0.603
F20 F 0.888 0.759 0.930
F21 F 0.974 0.516 0.796
F22 F 0.981 0.190 0.467
# - raw total energy (eV/atom) = -5.738
# - energy above the lowest structure with this stoichiometry (eV/atom) = 0.013